# Cr2FeNi12 PBE optimized geometry
# Formation enthalpy at 0 K (kJ/mol of formula units): 484
data_Cr2FeNi12
_cell_length_a 4.694
_cell_length_b 4.694
_cell_length_c 16.908
_cell_angle_alpha 90.00
_cell_angle_beta 90.00
_cell_angle_gamma 90.00
_symmetry_space_group_name_H-M 'P 4/n b m'
_symmetry_Int_Tables_number 125
loop_
_symmetry_equiv_pos_as_xyz
'x,y,z'
'-x,-y,-z'
'-y+1/2,x,z'
'y+1/2,-x,-z'
'-x+1/2,-y+1/2,z'
'x+1/2,y+1/2,-z'
'y,-x+1/2,z'
'-y,x+1/2,-z'
'x,-y+1/2,-z'
'-x,y+1/2,z'
'-y+1/2,-x+1/2,-z'
'y+1/2,x+1/2,z'
'-x+1/2,y,-z'
'x+1/2,-y,z'
'y,x,-z'
'-y,-x,z'
loop_
_atom_site_label
_atom_site_fract_x
_atom_site_fract_y
_atom_site_fract_z
Cr1 0.250 0.750 0.224
Fe1 0.250 0.750 0.500
Ni1 0.001 0.501 0.395
Ni2 0.075 0.575 0.937
Ni3 0.250 0.250 0.160
Ni4 0.250 0.250 0.294

=====

# BRhN2F PBE optimized geometry
# Polymorph energy (0 for the lowest one) (eV per atom): 0.0000
# E_form (uncorrected) (kJ/mol of atoms): 72.5
data_BRhN2F
_cell_length_a 3.585
_cell_length_b 3.585
_cell_length_c 3.135
_cell_angle_alpha 90.00
_cell_angle_beta 90.00
_cell_angle_gamma 90.00
_symmetry_space_group_name_H-M 'P 4/m m m'
_symmetry_Int_Tables_number 123
_symmetry_space_group_name_Hall '-P 4 2'
loop_
_atom_site_label
_atom_site_fract_x
_atom_site_fract_y
_atom_site_fract_z
B1 0.000 0.000 0.000
Rh1 0.500 0.500 0.500
N1 0.000 0.500 0.000
F1 0.000 0.000 0.500

=====

# CaIr2Cl PBE optimized geometry
# Polymorph energy (0 for the lowest one) (eV per atom): 0.6650
# E_form (uncorrected) (kJ/mol of atoms): 27.2
data_CaIr2Cl
_cell_length_a 4.905
_cell_length_b 11.161
_cell_length_c 2.972
_cell_angle_alpha 90.00
_cell_angle_beta 90.00
_cell_angle_gamma 90.00
_symmetry_space_group_name_H-M 'C m m m'
_symmetry_Int_Tables_number 65
_symmetry_space_group_name_Hall '-C 2 2'
loop_
_atom_site_label
_atom_site_fract_x
_atom_site_fract_y
_atom_site_fract_z
Ca1 0.000 0.000 0.000
Ir1 0.250 0.250 0.500
Cl1 0.000 0.500 0.000

=====

# ReHgBr2 PBE optimized geometry
# Polymorph energy (0 for the lowest one) (eV per atom): 0.1009
# E_form (uncorrected) (kJ/mol of atoms): 37.8
data_ReHgBr2
_cell_length_a 3.080
_cell_length_b 3.238
_cell_length_c 10.526
_cell_angle_alpha 90.00
_cell_angle_beta 90.07
_cell_angle_gamma 90.00
_symmetry_space_group_name_H-M 'P 1 2/m 1'
_symmetry_Int_Tables_number 10
_symmetry_space_group_name_Hall '-P 2y'
loop_
_atom_site_label
_atom_site_fract_x
_atom_site_fract_y
_atom_site_fract_z
Re1 0.000 0.000 0.000
Hg1 0.500 0.000 0.500
Br1 0.001 0.500 0.182

=====

# Ta2ReBr PBE optimized geometry
# Polymorph energy (0 for the lowest one) (eV per atom): 0.8156
# E_form (uncorrected) (kJ/mol of atoms): 96.0
data_Ta2ReBr
_cell_length_a 6.557
_cell_length_b 6.557
_cell_length_c 6.557
_cell_angle_alpha 90.00
_cell_angle_beta 90.00
_cell_angle_gamma 90.00
_symmetry_space_group_name_H-M 'F -4 3 m'
_symmetry_Int_Tables_number 216
_symmetry_space_group_name_Hall 'F -4 2 3'
loop_
_atom_site_label
_atom_site_fract_x
_atom_site_fract_y
_atom_site_fract_z
Ta1 0.000 0.000 0.000
Ta2 0.250 0.250 0.250
Re1 0.250 0.250 0.750
Br1 0.000 0.000 0.500

=====

# KTiBr5 PBE optimized geometry
# Polymorph energy (0 for the lowest one) (eV per atom): 0.0293
# E_form (uncorrected) (kJ/mol of atoms): -122.0
data_KTiBr5
_cell_length_a 12.324
_cell_length_b 8.657
_cell_length_c 10.217
_cell_angle_alpha 90.00
_cell_angle_beta 112.81
_cell_angle_gamma 90.00
_symmetry_space_group_name_H-M 'C 1 2/c 1'
_symmetry_Int_Tables_number 15
_symmetry_space_group_name_Hall '-C 2yc'
loop_
_atom_site_label
_atom_site_fract_x
_atom_site_fract_y
_atom_site_fract_z
K1 0.000 0.034 0.250
Ti1 0.000 0.500 0.000
Br1 0.000 0.414 0.250
Br2 0.089 0.243 0.992
Br3 0.197 0.387 0.619

=====

# Np2GaSi2Rh5 PBE optimized geometry
# E_form (uncorrected) (kJ/mol of atoms): -57.6
data_Np2GaSi2Rh5
_cell_length_a 10.485
_cell_length_b 10.485
_cell_length_c 2.930
_cell_angle_alpha 90.00
_cell_angle_beta 90.00
_cell_angle_gamma 90.00
_symmetry_space_group_name_H-M 'P 4/m b m'
_symmetry_Int_Tables_number 127
_symmetry_space_group_name_Hall '-P 4 2ab'
loop_
_atom_site_label
_atom_site_fract_x
_atom_site_fract_y
_atom_site_fract_z
Np1 0.178 0.322 0.000
Ga1 0.000 0.000 0.000
Si1 0.131 0.631 0.000
Rh1 0.000 0.500 0.500
Rh2 0.049 0.798 0.500